1.
Entry from the Alexandria database: a geometry-optimized ReRu2W structure (GGA-PBEsol).

Cell and atoms, written as POSCAR:
```
ReRu2W
1.0
2.726 0.000 0.000
-1.363 2.361 0.000
0.000 0.000 26.800
Re Ru W
3 6 3
direct
0.000 0.000 0.000
0.333 0.667 0.667
0.667 0.333 0.333
0.000 0.000 0.496
0.000 0.000 0.745
0.333 0.667 0.163
0.333 0.667 0.412
0.667 0.333 0.078
0.667 0.333 0.829
0.000 0.000 0.243
0.333 0.667 0.910
0.667 0.333 0.577
```

Its energy above the lowest structure with this stoichiometry is 50 kJ/mol of formula units. As for the symmetry: R3m. The total energy comes out at -140.69 eV per cell. The formation energy comes out at 0.147 eV per atom.

2.
Entry from the Alexandria database: a geometry-optimized YTe structure (GGA-PBEsol).

Cell and atoms, written as POSCAR:
```
YTe
1.0
4.042 0.000 0.000
-2.021 3.500 0.000
0.000 0.000 4.001
Y Te
1 1
direct
0.000 0.000 0.000
0.667 0.333 0.500
```

The formation energy (no corrections) comes out at -1370 meV per atom. As for the symmetry: P-6m2. The total energy comes out at -13.09 eV per cell.

3.
Entry from the Alexandria database: a geometry-optimized YSi2Ag structure (GGA-PBEsol).

Cell and atoms, written as POSCAR:
```
YSi2Ag
1.0
3.080 0.000 0.000
0.000 3.841 0.000
0.000 0.000 6.213
Y Si Ag
1 2 1
direct
0.000 0.000 0.000
0.500 0.500 0.302
0.500 0.500 0.698
0.000 0.000 0.500
```

The formation energy (no corrections) comes out at -136 meV per atom. As for the symmetry: Pmmm. The total energy comes out at -22.17 eV per cell.

4.
Entry from the Alexandria database: a geometry-optimized Ni3IrPt structure (GGA-PBEsol).

Cell and atoms, written as POSCAR:
```
Ni3IrPt
1.0
4.405 0.000 0.000
0.000 4.405 0.000
0.000 0.000 4.405
Ni Ir Pt
3 1 1
direct
0.000 0.000 0.500
0.000 0.500 0.000
0.500 0.000 0.000
0.500 0.500 0.500
0.000 0.000 0.000
```

As for the symmetry: Pm-3m. The total energy comes out at -26.27 eV per cell. The formation energy comes out at 1.797 eV per atom.

5.
Entry from the Alexandria database: a geometry-optimized PPbC2 structure (GGA-PBEsol).

Cell and atoms, written as POSCAR:
```
PPbC2
1.0
5.180 0.000 0.000
0.000 5.180 0.000
0.000 0.000 8.016
P Pb C
4 4 8
direct
0.000 0.000 0.000
0.000 0.500 0.250
0.500 0.000 0.750
0.500 0.500 0.500
0.000 0.000 0.500
0.000 0.500 0.750
0.500 0.000 0.250
0.500 0.500 0.000
0.134 0.750 0.125
0.250 0.134 0.875
0.250 0.366 0.375
0.366 0.750 0.625
0.634 0.250 0.625
0.750 0.634 0.375
0.750 0.866 0.875
0.866 0.250 0.125
```

As for the symmetry: I-42d. The total energy comes out at -101.94 eV per cell. The formation energy comes out at 0.898 eV per atom.

6.
Entry from the Alexandria database: a geometry-optimized VP4O12 structure (GGA-PBEsol).

Cell and atoms, written as POSCAR:
```
VP4O12
1.0
4.654 -6.822 0.000
4.654 6.822 0.000
-2.880 0.000 6.966
V P O
2 8 24
direct
0.134 0.866 0.750
0.866 0.134 0.250
0.057 0.216 0.698
0.216 0.057 0.198
0.282 0.613 0.905
0.387 0.718 0.595
0.613 0.282 0.405
0.718 0.387 0.095
0.784 0.943 0.802
0.943 0.784 0.302
0.016 0.267 0.518
0.090 0.150 0.193
0.122 0.660 0.817
0.127 0.873 0.250
0.150 0.090 0.693
0.178 0.396 0.875
0.267 0.016 0.018
0.284 0.598 0.398
0.340 0.878 0.683
0.389 0.611 0.750
0.396 0.178 0.375
0.402 0.716 0.102
0.598 0.284 0.898
0.604 0.822 0.625
0.611 0.389 0.250
0.660 0.122 0.317
0.716 0.402 0.602
0.733 0.984 0.982
0.822 0.604 0.125
0.850 0.910 0.307
0.873 0.127 0.750
0.878 0.340 0.183
0.910 0.850 0.807
0.984 0.733 0.482
```

The formation energy (no corrections) comes out at -2094 meV per atom. Its energy above the lowest structure with this stoichiometry is 27 kJ/mol of formula units. As for the symmetry: C2/c. The total energy comes out at -262.78 eV per cell.

7.
Entry from the Alexandria database: a geometry-optimized SnBiN2 structure (GGA-PBEsol).

Cell and atoms, written as POSCAR:
```
SnBiN2
1.0
3.332 0.000 0.000
-1.666 2.885 0.000
0.000 0.000 20.258
Sn Bi N
3 3 6
direct
0.000 0.000 0.000
0.333 0.667 0.667
0.667 0.333 0.333
0.000 0.000 0.500
0.333 0.667 0.167
0.667 0.333 0.833
0.000 0.000 0.387
0.000 0.000 0.613
0.333 0.667 0.053
0.333 0.667 0.280
0.667 0.333 0.720
0.667 0.333 0.947
```

The formation energy (no corrections) comes out at 359 meV per atom. As for the symmetry: R-3m. The total energy comes out at -72.49 eV per cell.

8.
Entry from the Alexandria database: a geometry-optimized AlSb2O structure (GGA-PBEsol).

Cell and atoms, written as POSCAR:
```
AlSb2O
1.0
5.299 0.000 0.000
0.000 5.299 0.000
0.000 0.000 13.178
Al Sb O
4 8 4
direct
0.000 0.000 0.000
0.000 0.500 0.250
0.500 0.000 0.750
0.500 0.500 0.500
0.168 0.250 0.625
0.250 0.668 0.875
0.250 0.832 0.375
0.332 0.250 0.125
0.668 0.750 0.125
0.750 0.168 0.375
0.750 0.332 0.875
0.832 0.750 0.625
0.000 0.000 0.500
0.000 0.500 0.750
0.500 0.000 0.250
0.500 0.500 0.000
```

The formation energy (no corrections) comes out at -114 meV per atom. As for the symmetry: I-42d. The total energy comes out at -75.64 eV per cell.

9.
Entry from the Alexandria database: a geometry-optimized CdIrOs2 structure (GGA-PBEsol).

Cell and atoms, written as POSCAR:
```
CdIrOs2
1.0
4.788 0.000 0.000
0.000 2.739 0.000
-1.657 0.000 4.568
Cd Ir Os
1 1 2
direct
0.000 0.000 0.000
0.500 0.500 0.000
0.000 0.500 0.500
0.500 0.000 0.500
```

As for the symmetry: P2/m. The total energy comes out at -33.32 eV per cell. The formation energy comes out at 0.533 eV per atom.

10.
Entry from the Alexandria database: a geometry-optimized AlNiPb structure (GGA-PBEsol).

Cell and atoms, written as POSCAR:
```
AlNiPb
1.0
4.098 0.000 0.000
-2.049 3.549 0.000
0.000 0.000 3.806
Al Ni Pb
1 1 1
direct
0.000 0.000 0.000
0.667 0.333 0.996
0.333 0.667 0.500
```

As for the symmetry: P3m1. The total energy comes out at -13.86 eV per cell. The formation energy comes out at 0.129 eV per atom.

11.
Entry from the Alexandria database: a geometry-optimized AlTeSe2 structure (GGA-PBEsol).

Cell and atoms, written as POSCAR:
```
AlTeSe2
1.0
3.653 0.000 0.000
0.000 5.768 0.000
0.000 0.000 8.510
Al Te Se
2 2 4
direct
0.000 0.000 0.000
0.500 0.500 0.000
0.000 0.000 0.500
0.500 0.500 0.500
0.000 0.500 0.194
0.000 0.500 0.806
0.500 0.000 0.194
0.500 0.000 0.806
```

The formation energy (no corrections) comes out at -76 meV per atom. Its energy above the lowest structure with this stoichiometry is 146 kJ/mol of formula units. As for the symmetry: Cmmm. The total energy comes out at -31.25 eV per cell.

12.
Entry from the Alexandria database: a geometry-optimized MnGe2PtO structure (GGA-PBEsol).

Cell and atoms, written as POSCAR:
```
MnGe2PtO
1.0
4.366 0.000 0.000
0.000 4.366 0.000
0.000 0.000 4.030
Mn Ge Pt O
1 2 1 1
direct
0.000 0.000 0.000
0.000 0.500 0.500
0.500 0.000 0.500
0.500 0.500 0.000
0.500 0.500 0.500
```

The formation energy (no corrections) comes out at 228 meV per atom. As for the symmetry: P4/mmm. The total energy comes out at -30.71 eV per cell.